The following is a DFT calculation (PBE) of a geometry-optimized HfNiB2Os structure.

POSCAR file:
```
HfNiB2Os
1.0
-3.594 0.838 -2.192
1.337 -3.274 -3.445
-2.038 -3.101 2.157
B Hf Ni Os
2 1 1 1
direct
0.500 0.000 0.000
0.000 0.000 0.500
0.000 0.000 0.000
0.500 0.500 0.500
0.000 0.500 0.000
```

Properties
The density of states at the Fermi level is 5.0 states/eV/cell. The space group is P4/mmm, No. 123. The value obtained for the calculated volume is 91.0 Å³/f.u. As for the formation energy: 2.257 eV per atom.



The following is a DFT calculation (PBE) of a geometry-optimized TcIr2Ru structure.

POSCAR file:
```
TcIr2Ru
1.0
-0.733 -2.386 3.575
2.566 0.474 0.843
-1.483 3.917 2.311
Ir Tc Ru
2 1 1
direct
0.500 0.125 0.295
0.000 0.125 0.960
0.500 0.625 0.788
0.000 0.625 0.458
```

Properties
The density of states at the Fermi level is 3.9 states/eV/cell. The space group is Pmm2, No. 25. The value obtained for the calculated volume is 57.2 Å³/f.u. As for the formation energy: -0.167 eV per atom.



The following is a DFT calculation (PBE) of a geometry-optimized VCr2FeH structure.

POSCAR file:
```
VCr2FeH
1.0
3.938 0.000 0.000
0.000 3.938 0.000
0.000 0.000 3.211
V H Cr Fe
1 1 2 1
direct
0.500 0.500 0.500
0.000 0.000 0.000
0.000 0.500 0.000
0.500 0.000 0.000
0.000 0.000 0.500
```

Properties
The density of states at the Fermi level is 6.0 states/eV/cell. The space group is P4/mmm, No. 123. The value obtained for the calculated volume is 49.8 Å³/f.u. As for the final energy: -7.950 eV/atom.



The following is a DFT calculation (PBE) of a geometry-optimized NaGaAs2Se structure.

POSCAR file:
```
NaGaAs2Se
1.0
-3.256 -3.914 -0.298
3.166 -2.390 -3.204
2.355 -2.264 4.016
Ga Se As Na
1 1 2 1
direct
0.500 0.500 0.500
0.000 0.000 0.500
0.500 0.000 0.000
0.000 0.500 0.000
0.000 0.000 0.000
```

Properties
The density of states at the Fermi level is 4.9 states/eV/cell. The space group is P4/mmm, No. 123. The value obtained for the calculated volume is 134.6 Å³/f.u. As for the final energy: -2.616 eV/atom.



The following is a DFT calculation (PBE) of a geometry-optimized Re2RhSe structure.

POSCAR file:
```
Re2RhSe
1.0
-3.906 -2.646 1.178
2.084 -1.207 -4.225
1.660 -1.916 1.330
Re Rh Se
2 1 1
direct
0.500 0.500 0.000
0.000 0.000 0.000
0.500 0.000 0.500
0.000 0.500 0.500
```

Properties
The density of states at the Fermi level is 4.1 states/eV/cell. The space group is C2/m, No. 12. The value obtained for the calculated volume is 61.4 Å³/f.u. As for the final energy: -8.309 eV/atom.



The following is a DFT calculation (PBE) of a geometry-optimized SnBi3Pt structure.

POSCAR file:
```
SnBi3Pt
1.0
6.835 0.315 -0.807
-1.568 6.661 0.807
-3.475 -2.853 6.546
Sn Bi Pt
2 6 2
direct
0.692 0.072 0.764
0.308 0.928 0.236
0.811 0.950 0.222
0.272 0.411 0.222
0.189 0.050 0.778
0.728 0.589 0.778
0.206 0.524 0.729
0.794 0.476 0.271
0.686 0.792 0.478
0.314 0.208 0.522
```

Properties
The density of states at the Fermi level is 3.1 states/eV/cell. The space group is C2/m, No. 12. The value obtained for the calculated volume is 146.9 Å³/f.u. As for the formation energy: -0.134 eV per atom.



Question: Which value of calculated volume does entry 5 give?
Answer: 61.4 Å³/f.u.